1.
{
  "formula": "AcDyTmMg",
  "functional": "PBE",
  "state": "relaxed",
  "final_energy_ev_per_cell": -14.56,
  "space_group": "No. 216",
  "cell": [[-2.8092, -3.1937, -3.7688], [2.1488, -0.8122, -5.1979], [2.0261, -5.1013, -1.4719]],
  "species": ["Ac", "Dy", "Tm", "Mg"],
  "fractional_positions": [[0.7500, 0.7500, 0.7500], [0.2500, 0.2500, 0.2500], [0.5000, 0.5000, 0.5000], [0.0000, 0.0000, 0.0000]]
}



2.
{
  "formula": "AcDyYMg",
  "functional": "PBE",
  "state": "relaxed",
  "final_energy_ev_per_cell": -16.52,
  "e_above_lowest_polymorph_mev_per_atom": 0,
  "space_group": "No. 216",
  "cell": [[5.7194, 0.0000, 0.0000], [2.8597, 4.9532, 0.0000], [2.8597, 1.6511, 4.6699]],
  "species": ["Mg", "Ac", "Dy", "Y"],
  "fractional_positions": [[0.2500, 0.2500, 0.2500], [0.5000, 0.5000, 0.5000], [0.7500, 0.7500, 0.7500], [0.0000, 0.0000, 0.0000]]
}



3.
{
  "formula": "AcDy2Mn",
  "functional": "PBE",
  "state": "relaxed",
  "final_energy_ev_per_cell": -20.02,
  "e_above_lowest_polymorph_mev_per_atom": 467,
  "space_group": "No. 166",
  "cell": [[3.5467, 0.0000, 0.0000], [1.7734, 3.0715, 0.0000], [1.7734, 1.0238, 11.6485]],
  "species": ["Dy", "Dy", "Ac", "Mn"],
  "fractional_positions": [[0.0795, 0.0795, 0.7616], [0.9205, 0.9205, 0.2384], [0.5000, 0.5000, 0.5000], [0.0000, 0.0000, 0.0000]]
}



4.
{
  "formula": "AcDy2Mn",
  "functional": "PBE",
  "state": "relaxed",
  "final_energy_ev_per_cell": -21.88,
  "e_above_lowest_polymorph_mev_per_atom": 0,
  "space_group": "No. 123",
  "cell": [[3.6138, 0.0000, 0.0000], [0.0000, 3.6138, 0.0000], [0.0000, 0.0000, 9.1628]],
  "species": ["Mn", "Ac", "Dy", "Dy"],
  "fractional_positions": [[0.5000, 0.5000, 0.0000], [0.5000, 0.5000, 0.5000], [0.0000, 0.0000, 0.8162], [0.0000, 0.0000, 0.1838]]
}



5.
{
  "formula": "Ac2DyMnSe6",
  "functional": "PBE",
  "state": "relaxed",
  "e_form_raw_ev_per_atom": -1.578,
  "final_energy_ev_per_cell": -117.36,
  "space_group": "No. 14",
  "cell": [[6.9762, 0.0000, -0.0779], [0.0000, 7.8214, 0.0000], [-0.0486, 0.0000, 10.1182]],
  "species": ["Se", "Se", "Se", "Se", "Ac", "Se", "Se", "Dy", "Ac", "Ac", "Se", "Se", "Dy", "Ac", "Se", "Se", "Se", "Mn", "Mn", "Se"],
  "fractional_positions": [[0.8088, 0.8248, 0.5501], [0.8883, 0.5208, 0.2336], [0.1724, 0.1898, 0.0557], [0.8276, 0.8102, 0.9443], [0.9614, 0.1030, 0.7534], [0.1117, 0.4792, 0.7664], [0.6117, 0.0208, 0.2664], [0.0000, 0.5000, 0.5000], [0.4614, 0.3970, 0.2534], [0.5386, 0.6030, 0.7466], [0.6912, 0.3248, 0.9499], [0.1912, 0.1752, 0.4499], [0.5000, 0.0000, 0.0000], [0.0386, 0.8970, 0.2466], [0.3276, 0.6898, 0.4443], [0.3088, 0.6752, 0.0501], [0.6724, 0.3102, 0.5557], [0.0000, 0.5000, 0.0000], [0.5000, 0.0000, 0.5000], [0.3883, 0.9792, 0.7336]]
}



6.
{
  "formula": "Ac2DyMnTe5",
  "functional": "PBE",
  "state": "relaxed",
  "e_form_raw_ev_per_atom": -1.247,
  "final_energy_ev_per_cell": -97.84,
  "space_group": "No. 36",
  "cell": [[4.4915, 0.0000, 0.0000], [-2.2458, 9.5625, 0.0000], [0.0000, 0.0000, 13.6408]],
  "species": ["Te", "Ac", "Ac", "Te", "Te", "Ac", "Te", "Te", "Te", "Dy", "Mn", "Te", "Te", "Ac", "Te", "Mn", "Te", "Dy"],
  "fractional_positions": [[0.6571, 0.3142, 0.5172], [0.8756, 0.7512, 0.1969], [0.1244, 0.2488, 0.6969], [0.3058, 0.6116, 0.6782], [0.5005, 0.0010, 0.2554], [0.1169, 0.2338, 0.3408], [0.6942, 0.3884, 0.1782], [0.4995, 0.9990, 0.7554], [0.3036, 0.6073, 0.3614], [0.8198, 0.6396, 0.5196], [0.4388, 0.8776, 0.4312], [0.6964, 0.3927, 0.8614], [0.0199, 0.0397, 0.0232], [0.8831, 0.7662, 0.8408], [0.9801, 0.9603, 0.5232], [0.5612, 0.1224, 0.9312], [0.3429, 0.6858, 0.0172], [0.1802, 0.3604, 0.0196]]
}



7.
{
  "formula": "Ac2DyMo2N6",
  "functional": "PBE",
  "state": "relaxed",
  "e_form_raw_ev_per_atom": -0.837,
  "final_energy_ev_per_cell": -93.64,
  "space_group": "No. 166",
  "cell": [[-5.7038, 1.4996, -0.0649], [-3.5473, -2.0768, -4.2297], [-4.4306, -5.1606, 2.1374]],
  "species": ["Mo", "N", "Dy", "N", "N", "Ac", "N", "Mo", "N", "N", "Ac"],
  "fractional_positions": [[0.6020, 0.6020, 0.1939], [0.7433, 0.7433, 0.2818], [0.0000, 0.0000, 0.0000], [0.2567, 0.7684, 0.7182], [0.2567, 0.2567, 0.7182], [0.2052, 0.2052, 0.3845], [0.2316, 0.7433, 0.2818], [0.3980, 0.3980, 0.8061], [0.7433, 0.2316, 0.2818], [0.7684, 0.2567, 0.7182], [0.7948, 0.7948, 0.6155]]
}



8.
{
  "formula": "AcDyMoN4",
  "functional": "PBE",
  "state": "relaxed",
  "e_form_raw_ev_per_atom": -1.062,
  "final_energy_ev_per_cell": -120.56,
  "space_group": "No. 11",
  "cell": [[-4.6940, -3.4671, 0.9839], [3.5999, -4.7405, 0.4695], [2.3120, 2.3761, 6.2637]],
  "species": ["Mo", "Ac", "Mo", "N", "N", "Dy", "N", "Ac", "N", "N", "N", "N", "Dy", "N"],
  "fractional_positions": [[0.7345, 0.2500, 0.6744], [0.7292, 0.7500, 0.9377], [0.2655, 0.7500, 0.3256], [0.0469, 0.5080, 0.2751], [0.5368, 0.2500, 0.4197], [0.8141, 0.7500, 0.4687], [0.9531, 0.0080, 0.7249], [0.2708, 0.2500, 0.0623], [0.9531, 0.4920, 0.7249], [0.5362, 0.2500, 0.8357], [0.0469, 0.9920, 0.2751], [0.4638, 0.7500, 0.1643], [0.1859, 0.2500, 0.5313], [0.4632, 0.7500, 0.5803]]
}